A relaxed structure of ReI2N, computed with PBE.

Computed properties:
**Total DFT energy (no corrections)**: -4.13 eV per atom
**Calculated density**: 7.736 Mg/m³
**Excess energy over the best structure of this formula in the dataset**: 0.0 kJ per mole of atoms
**N(E_F)**: 0.43 states/eV/atom
**Energy relative to the elements, uncorrected**: 177.2 kJ per mole of atoms

Structure (CIF):
```
data_ReI2N
_space_group_name_H-M_alt 'I -4 2 d'
_space_group_IT_number 122
_space_group_name_Hall 'I -4 2bw'
_cell_length_a 5.876
_cell_length_b 5.876
_cell_length_c 11.290
_cell_angle_alpha 90.00
_cell_angle_beta 90.00
_cell_angle_gamma 90.00
loop_
_atom_site_label
_atom_site_type_symbol
_atom_site_fract_x
_atom_site_fract_y
_atom_site_fract_z
Re1 Re 0.000 0.000 0.000
I1 I 0.234 0.250 0.625
N1 N 0.000 0.000 0.500
```